Entry from Alexandria via LeMat-Bulk: ScGa2Rh2 after structural relaxation (PBE).

Geometry as CIF:
```
data_ScGa2Rh2
_cell_length_a 3.687
_cell_length_b 3.687
_cell_length_c 12.408
_cell_angle_alpha 90.00
_cell_angle_beta 90.00
_cell_angle_gamma 90.00
_space_group_name_H-M_alt 'I 4/m m m'
_space_group_IT_number 139
_space_group_name_Hall '-I 4 2'
loop_
_atom_site_label
_atom_site_fract_x
_atom_site_fract_y
_atom_site_fract_z
Sc1 0.000 0.000 0.000
Ga1 0.000 0.500 0.250
Rh1 0.000 0.000 0.393
```

As for the formation energy: -620 meV/atom. As for the total energy: -6.038 eV per atom.